No. 1
A geometry-optimized NiIr2Rh structure, computed with PBE.

As for the size of the total moment: 0.00 μB per cell. For the calculated formation energy, the calculation gives 0.21 eV/atom.

Lattice parameters (Å, degrees): 5.2096 5.2096 5.2096 149.50 129.22 60.41
Last column: nearest neighbours and their distance in Å.
Sites, in units of the cell vectors:
Ir1 0.0046 0.0046 0.0000  4 Ni 2.62, 4 Ir 2.73-2.74, 2 Rh 2.81
Ir2 0.2667 0.7667 0.5000  2 Ni 2.49, 4 Rh 2.64, 4 Ir 2.73-2.74
Ni1 0.4970 0.4970 0.0000  6 Ir 2.49-2.62, 2 Rh 2.52, 2 Ni 2.74
Rh1 0.7317 0.2317 0.5000  2 Ni 2.52, 6 Ir 2.64-2.81, 2 Rh 2.74



No. 2
A geometry-optimized CaPu2Ga6 structure, computed with PBE.

As for the size of the total moment: 11.68 μB per cell. For the calculated formation energy, the calculation gives -0.39 eV/atom.

Lattice parameters (Å, degrees): 3.4911 7.8719 7.8719 120.00 90.00 90.00
Last column: nearest neighbours and their distance in Å.
Sites, in units of the cell vectors:
Ca1 0.0000 0.0000 0.0000  12 Ga 3.16, 2 Ca 3.49
Pu1 0.0000 0.3333 0.6667  12 Ga 3.15, 2 Pu 3.49
Pu2 0.0000 0.6667 0.3333  12 Ga 3.15, 2 Pu 3.49
Ga1 0.5000 0.3339 0.3339  3 Ga 2.61-2.63
Ga2 0.5000 0.6661 0.6661  3 Ga 2.61-2.63
Ga3 0.5000 0.0000 0.6661  3 Ga 2.61-2.63
Ga4 0.5000 0.6661 0.0000  3 Ga 2.61-2.63
Ga5 0.5000 0.3339 0.0000  3 Ga 2.61-2.63
Ga6 0.5000 0.0000 0.3339  3 Ga 2.61-2.63



No. 3
A geometry-optimized Zr2FeCl structure, computed with PBE.

As for the size of the total moment: 1.47 μB per cell. As for the offset from the most stable computed form: 433 meV/atom. The formation energy (no corrections) comes out at -0.07 eV/atom.

Lattice parameters (Å, degrees): 4.7933 4.7933 3.1038 90.00 90.00 99.13
Last column: nearest neighbours and their distance in Å.
Sites, in units of the cell vectors:
Fe1 0.0000 0.5000 0.5000  8 Zr 2.86, 2 Fe 3.10, 2 Cl 3.11
Zr1 0.0000 0.0000 0.0000  4 Fe 2.86, 4 Cl 2.86, 4 Zr 3.10-3.11
Zr2 0.5000 0.5000 0.0000  4 Cl 2.86, 4 Fe 2.86, 4 Zr 3.10-3.11
Cl1 0.5000 0.0000 0.5000  8 Zr 2.86, 2 Cl 3.10, 2 Fe 3.11



No. 4
A geometry-optimized LaPm5Sm12 structure, computed with PBE.

As for the size of the total moment: 0.00 μB per cell. For the calculated formation energy, the calculation gives 0.10 eV/atom.

Lattice parameters (Å, degrees): 11.5847 10.5562 6.0659 90.07 90.12 56.72
Last column: nearest neighbours and their distance in Å.
Sites, in units of the cell vectors:
La1 0.0000 0.0000 0.0000  8 Sm 3.44-3.82
Pm1 0.5000 0.0000 0.5000  8 Sm 3.40-3.75
Pm2 0.1685 0.6630 0.5000  8 Sm 3.40-3.75
Pm3 0.8315 0.3370 0.5000  8 Sm 3.40-3.75
Pm4 0.6710 0.6580 0.0000  8 Sm 3.39-3.72
Pm5 0.3290 0.3420 0.0000  8 Sm 3.39-3.72
Sm1 0.8232 0.0000 0.4554  6 Sm 3.44-3.80, 1 La 3.44, 3 Pm 3.62-3.75
Sm2 0.1768 0.0000 0.5446  6 Sm 3.44-3.80, 1 La 3.44, 3 Pm 3.62-3.75
Sm3 0.6711 0.0000 0.9556  3 Pm 3.40-3.62, 4 Sm 3.46-3.51
Sm4 0.3290 0.0000 0.0444  3 Pm 3.40-3.62, 4 Sm 3.46-3.51
Sm5 0.3465 0.6675 0.9435  3 Pm 3.40-3.72, 6 Sm 3.44-3.80, 1 La 3.62
Sm6 0.9861 0.6675 0.0565  3 Pm 3.40-3.72, 6 Sm 3.44-3.80, 1 La 3.62
Sm7 0.0139 0.3325 0.9435  3 Pm 3.40-3.72, 6 Sm 3.44-3.80, 1 La 3.62
Sm8 0.6536 0.3325 0.0565  3 Pm 3.40-3.72, 6 Sm 3.44-3.80, 1 La 3.62
Sm9 0.5112 0.3328 0.5558  4 Pm 3.39-3.75, 5 Sm 3.44-3.78
Sm10 0.8440 0.6672 0.5558  4 Pm 3.39-3.75, 5 Sm 3.44-3.78
Sm11 0.1560 0.3328 0.4442  4 Pm 3.39-3.75, 5 Sm 3.44-3.78
Sm12 0.4888 0.6672 0.4442  4 Pm 3.39-3.75, 5 Sm 3.44-3.78



No. 5
A geometry-optimized Pm2YHo structure, computed with PBE.

As for the size of the total moment: 0.00 μB per cell. As for the offset from the most stable computed form: 2 meV/atom. For the calculated formation energy, the calculation gives 0.01 eV/atom.

Lattice parameters (Å, degrees): 3.6187 3.6187 11.8375 81.21 81.21 60.00
Last column: nearest neighbours and their distance in Å.
Sites, in units of the cell vectors:
Pm1 0.0832 0.0832 0.7511  3 Ho 3.56-3.57, 3 Y 3.59, 6 Pm 3.62
Pm2 0.2503 0.2503 0.2497  3 Y 3.59, 3 Ho 3.59, 6 Pm 3.62
Y1 0.4997 0.4997 0.5003  6 Pm 3.59, 6 Y 3.62
Ho1 0.6668 0.6668 0.9990  6 Pm 3.56-3.59, 6 Ho 3.62



No. 6
A geometry-optimized KMn structure, computed with PBE.

As for the size of the total moment: 0.00 μB per cell. As for the offset from the most stable computed form: 140 meV/atom. For the calculated formation energy, the calculation gives 0.88 eV/atom.

Lattice parameters (Å, degrees): 11.3185 11.3185 3.7441 90.00 90.00 90.00
Last column: nearest neighbours and their distance in Å.
Sites, in units of the cell vectors:
K1 0.6741 0.3590 0.0000  6 K 3.50-3.74, 3 Mn 3.75-3.89
K2 0.1741 0.1410 0.5000  6 K 3.50-3.74, 3 Mn 3.75-3.89
K3 0.8259 0.8590 0.5000  6 K 3.50-3.74, 3 Mn 3.75-3.89
K4 0.3259 0.6410 0.0000  6 K 3.50-3.74, 3 Mn 3.75-3.89
K5 0.1410 0.8259 0.5000  6 K 3.50-3.74, 3 Mn 3.75-3.89
K6 0.6410 0.6741 0.0000  6 K 3.50-3.74, 3 Mn 3.75-3.89
K7 0.3590 0.3259 0.0000  6 K 3.50-3.74, 3 Mn 3.75-3.89
K8 0.8590 0.1741 0.5000  6 K 3.50-3.74, 3 Mn 3.75-3.89
Mn1 0.9747 0.5920 0.0000  3 Mn 2.15-2.16
Mn2 0.4747 0.9080 0.5000  3 Mn 2.15-2.16
Mn3 0.5253 0.0920 0.5000  3 Mn 2.15-2.16
Mn4 0.0253 0.4080 0.0000  3 Mn 2.15-2.16
Mn5 0.9080 0.5253 0.5000  3 Mn 2.15-2.16
Mn6 0.4080 0.9747 0.0000  3 Mn 2.15-2.16
Mn7 0.5920 0.0253 0.0000  3 Mn 2.15-2.16
Mn8 0.0920 0.4747 0.5000  3 Mn 2.15-2.16



No. 7
A geometry-optimized K3BaBe structure, computed with PBE.

As for the size of the total moment: 1.01 μB per cell. As for the offset from the most stable computed form: 577 meV/atom. For the calculated formation energy, the calculation gives 1.17 eV/atom.

Lattice parameters (Å, degrees): 8.4698 8.4698 8.4698 90.00 90.00 90.00
Last column: nearest neighbours and their distance in Å.
Sites, in units of the cell vectors:
Be1 0.5000 0.5000 0.5000  12 K 5.99
K1 0.0000 0.5000 0.0000  2 Ba 4.23
K2 0.0000 0.0000 0.5000  2 Ba 4.23
K3 0.5000 0.0000 0.0000  2 Ba 4.23
Ba1 0.0000 0.0000 0.0000  6 K 4.23



No. 8
A geometry-optimized Os3Pb structure, computed with PBE.

As for the size of the total moment: 0.00 μB per cell. For the calculated formation energy, the calculation gives 0.91 eV/atom.

Lattice parameters (Å, degrees): 2.8793 4.3734 5.5408 90.00 90.00 90.00
Last column: nearest neighbours and their distance in Å.
Sites, in units of the cell vectors:
Os1 0.0000 0.0000 0.9602  8 Os 2.62-2.88, 2 Pb 2.93
Os2 0.5000 0.0000 0.5652  6 Os 2.62-2.88
Os3 0.5000 0.5000 0.8298  8 Os 2.63-2.88
Pb1 0.0000 0.5000 0.3116  2 Pb 2.88, 10 Os 2.93-3.21



No. 9
A geometry-optimized Y2VInH structure, computed with PBE.

As for the size of the total moment: 2.80 μB per cell. The calculation puts the total energy at -5.8098 eV per atom.

Lattice parameters (Å, degrees): 5.1548 5.1548 3.7705 90.00 90.00 90.00
Last column: nearest neighbours and their distance in Å.
Sites, in units of the cell vectors:
Y1 0.0000 0.5000 0.0000  2 H 2.58
Y2 0.5000 0.0000 0.0000  2 H 2.58
H1 0.0000 0.0000 0.0000  2 V 1.89
V1 0.0000 0.0000 0.5000  2 H 1.89
In1 0.5000 0.5000 0.5000  8 Y 3.19